# PBE Pm5Zr4Ir4, relaxed
data_Pm5Zr4Ir4
_chemical_formula_sum 'Pm10 Zr8 Ir8'
_symmetry_space_group_name_H-M 'I 4/m'
_symmetry_Int_Tables_number 87
_symmetry_space_group_name_Hall '-I 4'
_cell_length_a 11.759
_cell_length_b 11.759
_cell_length_c 4.562
_cell_angle_alpha 90.00
_cell_angle_beta 90.00
_cell_angle_gamma 90.00
loop_
_atom_site_label
_atom_site_type_symbol
_atom_site_fract_x
_atom_site_fract_y
_atom_site_fract_z
_atom_site_occupancy
Pm1 Pm 0.000 0.000 0.000 1
Pm2 Pm 0.129 0.807 0.500 1
Zr1 Zr 0.085 0.399 0.500 1
Ir1 Ir 0.076 0.268 0.000 1
# E_form: -0.55 eV/atom
# V: 631 Å³ per cell

=====

# PBE Pr2Ir7, relaxed
data_Pr2Ir7
_chemical_formula_sum 'Pr12 Ir42'
_symmetry_space_group_name_H-M 'R -3 m'
_symmetry_Int_Tables_number 166
_symmetry_space_group_name_Hall '-R 3 2"'
_cell_length_a 5.3855
_cell_length_b 5.3855
_cell_length_c 39.6322
_cell_angle_alpha 90.00
_cell_angle_beta 90.00
_cell_angle_gamma 120.00
loop_
_atom_site_label
_atom_site_type_symbol
_atom_site_fract_x
_atom_site_fract_y
_atom_site_fract_z
_atom_site_occupancy
Pr1 Pr 0.0000 0.0000 0.0503 1
Pr2 Pr 0.0000 0.0000 0.1476 1
Ir1 Ir 0.0000 0.0000 0.2779 1
Ir2 Ir 0.0000 0.0000 0.3885 1
Ir3 Ir 0.0000 0.0000 0.5000 1
Ir4 Ir 0.0000 0.5000 0.0000 1
Ir5 Ir 0.0016 0.5008 0.1090 1
# E_form: -0.42 eV/atom
# V: 995 Å³ per cell

=====

| no. | final energy (eV/atom) |
| --- | --- |
| 1 | -7.74 |
| 2 | -8.38 |